First-principles (PBE) data for an optimized crystal structure of BaPaSi, as listed in OQMD.

Output
Crystal system: hexagonal
E_tot (eV per cell): -44.2

Cell lengths 8.5817, 8.5817, 3.9716 Å; angles 90.00, 90.00, 120.00 degrees
Space group P-62m (No. 189)
Asymmetric unit:
Ba1 0.0000 0.0000 0.0000 (multiplicity 1)
Ba2 0.3333 0.6667 0.5000 (multiplicity 2)
Pa1 0.0000 0.4238 0.0000 (multiplicity 3)
Si1 0.0000 0.6961 0.5000 (multiplicity 3)